VASP calculation (GGA-PBE) on a relaxed structure of TiTlTe2Ru.

The structure belongs to space group P4/mmm (No. 123); the cell edges are 5.5847, 5.5847 and 4.9923 Å and the angles 90.00°, 90.00° and 90.00°. The asymmetric unit holds Ti at (0.0000, 0.0000, 0.0000), Tl at (0.5000, 0.5000, 0.5000), Te at (0.0000, 0.5000, 0.5000) and Ru at (0.5000, 0.5000, 0.0000).

The calculation puts the electronic total energy at -3.62 eV per atom. The calculation puts the formation energy without anion corrections at 1.543 eV per atom. Its density of states at the Fermi level is 12.106 states/eV/f.u.

VASP calculation (GGA-PBE) on a relaxed structure of TlTe2Ru.

The structure belongs to space group R-3m (No. 166, hexagonal axes); the cell edges are 3.2226, 3.2226 and 34.2852 Å and the angles 90.00°, 90.00° and 120.00°. The asymmetric unit holds Tl at (0.0000, 0.0000, 0.0000), Te at (0.0000, 0.0000, 0.4259) and Ru at (0.0000, 0.0000, 0.5000).

As for the energy relative to the lowest polymorph listed for this composition: 0.5882 eV/atom. The calculation puts the electronic total energy at -3.99 eV per atom. The calculation puts the formation energy without anion corrections at 0.487 eV per atom. Its density of states at the Fermi level is 2.902 states/eV/f.u.

VASP calculation (GGA-PBE) on a relaxed structure of TlTeRu.

The structure belongs to space group P4/nmm (No. 129, origin choice 2); the cell edges are 4.3350, 4.3350 and 8.2154 Å and the angles 90.00°, 90.00° and 90.00°. The asymmetric unit holds Tl at (0.2500, 0.2500, 0.1376), Te at (0.2500, 0.2500, 0.6762) and Ru at (0.2500, 0.7500, 0.5000).

As for the energy relative to the lowest polymorph listed for this composition: 0.0000 eV/atom. The calculation puts the electronic total energy at -4.95 eV per atom. The calculation puts the formation energy without anion corrections at -0.019 eV per atom. Its density of states at the Fermi level is 1.722 states/eV/f.u.

VASP calculation (GGA-PBE) on a relaxed structure of TlTe2Ru.

The structure belongs to space group Fm-3m (No. 225); the cell edges are 7.1947, 7.1947 and 7.1947 Å and the angles 90.00°, 90.00° and 90.00°. The asymmetric unit holds Tl at (0.0000, 0.0000, 0.0000), Te at (0.2500, 0.2500, 0.2500) and Ru at (0.0000, 0.0000, 0.5000).

As for the energy relative to the lowest polymorph listed for this composition: 0.5970 eV/atom. The calculation puts the electronic total energy at -3.99 eV per atom. The calculation puts the formation energy without anion corrections at 0.496 eV per atom. Its density of states at the Fermi level is 4.526 states/eV/f.u.